[1]
Material: KRb2Na5Hg2
Method: DFT, PBE-GGA
State: optimized geometry

Unit cell a=13.185 b=13.185 c=4.966 alpha=90.00 beta=90.00 gamma=90.00
Positions (direct):
K: 0.000 0.000 0.000
K: 0.500 0.500 0.000
Rb: 0.173 0.327 0.000
Rb: 0.327 0.827 0.000
Rb: 0.673 0.173 0.000
Rb: 0.827 0.673 0.000
Na: 0.000 0.500 0.500
Na: 0.074 0.768 0.500
Na: 0.232 0.074 0.500
Na: 0.268 0.574 0.500
Na: 0.426 0.268 0.500
Na: 0.500 0.000 0.500
Na: 0.574 0.732 0.500
Na: 0.732 0.426 0.500
Na: 0.768 0.926 0.500
Na: 0.926 0.232 0.500
Hg: 0.119 0.619 0.000
Hg: 0.381 0.119 0.000
Hg: 0.619 0.881 0.000
Hg: 0.881 0.381 0.000

Output
calculated volume = 863 Å³/cell
calculated density = 2.79 Mg/m³
calculated formation energy = -102.3 meV per atom
symmetry = P4/mbm, No. 127

[2]
Material: KRbNa2Hg
Method: DFT, PBE-GGA
State: optimized geometry

Unit cell a=9.984 b=4.472 c=11.625 alpha=90.00 beta=102.92 gamma=90.00
Positions (direct):
K: 0.181 0.250 0.106
K: 0.819 0.750 0.894
Rb: 0.332 0.250 0.769
Rb: 0.668 0.750 0.231
Na: 0.027 0.250 0.388
Na: 0.414 0.250 0.403
Na: 0.586 0.750 0.597
Na: 0.973 0.750 0.612
Hg: 0.246 0.750 0.502
Hg: 0.754 0.250 0.498

Output
calculated volume = 506 Å³/cell
calculated density = 2.44 Mg/m³
calculated formation energy = -66.9 meV per atom
symmetry = P2_1/m, No. 11

Question: What is the calculated formation energy in the second record?
Answer: -66.9 meV per atom